Material: Ce5Os2I2
Method: DFT, GGA-PBE
State: optimized geometry

Structure (CIF):
```
data_Ce5Os2I2
_space_group_name_H-M_alt 'C m c e'
_space_group_IT_number 64
_space_group_name_Hall '-C 2ac 2'
_cell_length_a 16.392
_cell_length_b 8.367
_cell_length_c 7.461
_cell_angle_alpha 90.00
_cell_angle_beta 90.00
_cell_angle_gamma 90.00
loop_
_atom_site_label
_atom_site_type_symbol
_atom_site_fract_x
_atom_site_fract_y
_atom_site_fract_z
Ce1 Ce 0.000 0.000 0.000
Ce2 Ce 0.109 0.166 0.356
Os1 Os 0.000 0.120 0.664
I1 I 0.207 0.000 0.000
```

Material: CeOsI
Method: DFT, GGA-PBE
State: optimized geometry

Structure (CIF):
```
data_CeOsI
_space_group_name_H-M_alt 'C 1 2/m 1'
_space_group_IT_number 12
_cell_length_a 8.504
_cell_length_b 4.223
_cell_length_c 11.400
_cell_angle_alpha 90.00
_cell_angle_beta 102.54
_cell_angle_gamma 90.00
loop_
_space_group_symop_operation_xyz
'x,y,z'
'-x,-y,-z'
'-x,y,-z'
'x,-y,z'
'x+1/2,y+1/2,z'
'-x+1/2,-y+1/2,-z'
'-x+1/2,y+1/2,-z'
'x+1/2,-y+1/2,z'
loop_
_atom_site_label
_atom_site_type_symbol
_atom_site_fract_x
_atom_site_fract_y
_atom_site_fract_z
Ce1 Ce 0.189 0.000 0.125
Os1 Os 0.034 0.500 0.895
I1 I 0.133 0.500 0.339
```

Material: Ce2OsI
Method: DFT, GGA-PBE
State: optimized geometry

Structure (CIF):
```
data_Ce2OsI
_space_group_name_H-M_alt 'R -3 m'
_space_group_IT_number 166
_space_group_name_Hall '-R 3 2"'
_cell_length_a 4.1257
_cell_length_b 4.1257
_cell_length_c 23.8384
_cell_angle_alpha 90.00
_cell_angle_beta 90.00
_cell_angle_gamma 120.00
loop_
_atom_site_label
_atom_site_type_symbol
_atom_site_fract_x
_atom_site_fract_y
_atom_site_fract_z
Ce1 Ce 0.0000 0.0000 0.2279
Os1 Os 0.0000 0.0000 0.5000
I1 I 0.0000 0.0000 0.0000
```

Material: Ce4OsI5
Method: DFT, GGA-PBE
State: optimized geometry

Structure (CIF):
```
data_Ce4OsI5
_space_group_name_H-M_alt 'C 1 2/m 1'
_space_group_IT_number 12
_cell_length_a 19.463
_cell_length_b 4.257
_cell_length_c 9.172
_cell_angle_alpha 90.00
_cell_angle_beta 103.26
_cell_angle_gamma 90.00
loop_
_space_group_symop_operation_xyz
'x,y,z'
'-x,-y,-z'
'-x,y,-z'
'x,-y,z'
'x+1/2,y+1/2,z'
'-x+1/2,-y+1/2,-z'
'-x+1/2,y+1/2,-z'
'x+1/2,-y+1/2,z'
loop_
_atom_site_label
_atom_site_type_symbol
_atom_site_fract_x
_atom_site_fract_y
_atom_site_fract_z
Ce1 Ce 0.001 0.000 0.293
Ce2 Ce 0.143 0.500 0.573
Os1 Os 0.000 0.500 0.500
I1 I 0.000 0.500 0.000
I2 I 0.168 0.000 0.844
I3 I 0.174 0.000 0.324
```

Material: Ce4POsI2
Method: DFT, GGA-PBE
State: optimized geometry

Structure (CIF):
```
data_Ce4POsI2
_space_group_name_H-M_alt 'P 1 2/m 1'
_space_group_IT_number 10
_cell_length_a 7.360
_cell_length_b 4.130
_cell_length_c 8.032
_cell_angle_alpha 90.00
_cell_angle_beta 106.61
_cell_angle_gamma 90.00
loop_
_space_group_symop_operation_xyz
'x,y,z'
'-x,-y,-z'
'-x,y,-z'
'x,-y,z'
loop_
_atom_site_label
_atom_site_type_symbol
_atom_site_fract_x
_atom_site_fract_y
_atom_site_fract_z
Ce1 Ce 0.222 0.000 0.189
Ce2 Ce 0.261 0.500 0.808
P1 P 0.500 0.000 0.000
Os1 Os 0.000 0.500 0.000
I1 I 0.000 0.000 0.500
I2 I 0.500 0.500 0.500
```

Material: Ce6POs2I3
Method: DFT, GGA-PBE
State: optimized geometry

Structure (CIF):
```
data_Ce6POs2I3
_space_group_name_H-M_alt 'C 1 2/m 1'
_space_group_IT_number 12
_cell_length_a 7.234
_cell_length_b 12.520
_cell_length_c 8.159
_cell_angle_alpha 90.00
_cell_angle_beta 107.16
_cell_angle_gamma 90.00
loop_
_space_group_symop_operation_xyz
'x,y,z'
'-x,-y,-z'
'-x,y,-z'
'x,-y,z'
'x+1/2,y+1/2,z'
'-x+1/2,-y+1/2,-z'
'-x+1/2,y+1/2,-z'
'x+1/2,-y+1/2,z'
loop_
_atom_site_label
_atom_site_type_symbol
_atom_site_fract_x
_atom_site_fract_y
_atom_site_fract_z
Ce1 Ce 0.220 0.000 0.188
Ce2 Ce 0.234 0.329 0.188
P1 P 0.000 0.500 0.000
Os1 Os 0.000 0.167 0.000
I1 I 0.000 0.000 0.500
I2 I 0.000 0.335 0.500
```

Material: Ce8Os3PtI4
Method: DFT, GGA-PBE
State: optimized geometry

Structure (CIF):
```
data_Ce8Os3PtI4
_space_group_name_H-M_alt 'R -3 m'
_space_group_IT_number 166
_space_group_name_Hall '-R 3 2"'
_cell_length_a 8.3115
_cell_length_b 8.3115
_cell_length_c 23.8530
_cell_angle_alpha 90.00
_cell_angle_beta 90.00
_cell_angle_gamma 120.00
loop_
_atom_site_label
_atom_site_type_symbol
_atom_site_fract_x
_atom_site_fract_y
_atom_site_fract_z
Ce1 Ce 0.0000 0.0000 0.2284
Ce2 Ce 0.0105 0.5053 0.7715
Os1 Os 0.0000 0.5000 0.5000
Pt1 Pt 0.0000 0.0000 0.5000
I1 I 0.0000 0.0000 0.0000
I2 I 0.0000 0.5000 0.0000
```

Material: Ce6Os2PtI3
Method: DFT, GGA-PBE
State: optimized geometry

Structure (CIF):
```
data_Ce6Os2PtI3
_space_group_name_H-M_alt 'C 1 2/m 1'
_space_group_IT_number 12
_cell_length_a 7.216
_cell_length_b 12.497
_cell_length_c 8.314
_cell_angle_alpha 90.00
_cell_angle_beta 106.81
_cell_angle_gamma 90.00
loop_
_space_group_symop_operation_xyz
'x,y,z'
'-x,-y,-z'
'-x,y,-z'
'x,-y,z'
'x+1/2,y+1/2,z'
'-x+1/2,-y+1/2,-z'
'-x+1/2,y+1/2,-z'
'x+1/2,-y+1/2,z'
loop_
_atom_site_label
_atom_site_type_symbol
_atom_site_fract_x
_atom_site_fract_y
_atom_site_fract_z
Ce1 Ce 0.218 0.000 0.186
Ce2 Ce 0.234 0.328 0.186
Os1 Os 0.000 0.167 0.000
Pt1 Pt 0.000 0.500 0.000
I1 I 0.000 0.000 0.500
I2 I 0.000 0.334 0.500
```

Material: Ce8Os3RhI4
Method: DFT, GGA-PBE
State: optimized geometry

Structure (CIF):
```
data_Ce8Os3RhI4
_space_group_name_H-M_alt 'R -3 m'
_space_group_IT_number 166
_space_group_name_Hall '-R 3 2"'
_cell_length_a 8.2579
_cell_length_b 8.2579
_cell_length_c 23.8995
_cell_angle_alpha 90.00
_cell_angle_beta 90.00
_cell_angle_gamma 120.00
loop_
_atom_site_label
_atom_site_type_symbol
_atom_site_fract_x
_atom_site_fract_y
_atom_site_fract_z
Ce1 Ce 0.0000 0.0000 0.2281
Ce2 Ce 0.0050 0.5025 0.7717
Os1 Os 0.0000 0.5000 0.5000
Rh1 Rh 0.0000 0.0000 0.5000
I1 I 0.0000 0.0000 0.0000
I2 I 0.0000 0.5000 0.0000
```

Material: Ce8Os3RuI4
Method: DFT, GGA-PBE
State: optimized geometry

Structure (CIF):
```
data_Ce8Os3RuI4
_space_group_name_H-M_alt 'R -3 m'
_space_group_IT_number 166
_space_group_name_Hall '-R 3 2"'
_cell_length_a 8.2360
_cell_length_b 8.2360
_cell_length_c 23.8709
_cell_angle_alpha 90.00
_cell_angle_beta 90.00
_cell_angle_gamma 120.00
loop_
_atom_site_label
_atom_site_type_symbol
_atom_site_fract_x
_atom_site_fract_y
_atom_site_fract_z
Ce1 Ce 0.0000 0.0000 0.2279
Ce2 Ce 0.9997 0.4998 0.2280
Os1 Os 0.0000 0.5000 0.5000
Ru1 Ru 0.0000 0.0000 0.5000
I1 I 0.0000 0.0000 0.0000
I2 I 0.0000 0.5000 0.0000
```

Material: Ce6OsRu2I3
Method: DFT, GGA-PBE
State: optimized geometry

Structure (CIF):
```
data_Ce6OsRu2I3
_space_group_name_H-M_alt 'C 1 2/m 1'
_space_group_IT_number 12
_cell_length_a 7.108
_cell_length_b 12.312
_cell_length_c 8.324
_cell_angle_alpha 90.00
_cell_angle_beta 106.54
_cell_angle_gamma 90.00
loop_
_space_group_symop_operation_xyz
'x,y,z'
'-x,-y,-z'
'-x,y,-z'
'x,-y,z'
'x+1/2,y+1/2,z'
'-x+1/2,-y+1/2,-z'
'-x+1/2,y+1/2,-z'
'x+1/2,-y+1/2,z'
loop_
_atom_site_label
_atom_site_type_symbol
_atom_site_fract_x
_atom_site_fract_y
_atom_site_fract_z
Ce1 Ce 0.228 0.000 0.184
Ce2 Ce 0.228 0.333 0.184
Os1 Os 0.000 0.500 0.000
Ru1 Ru 0.000 0.167 0.000
I1 I 0.000 0.000 0.500
I2 I 0.000 0.333 0.500
```

Material: Ce4OsSI2
Method: DFT, GGA-PBE
State: optimized geometry

Structure (CIF):
```
data_Ce4OsSI2
_space_group_name_H-M_alt 'P 1 2/m 1'
_space_group_IT_number 10
_cell_length_a 7.309
_cell_length_b 4.082
_cell_length_c 8.039
_cell_angle_alpha 90.00
_cell_angle_beta 106.94
_cell_angle_gamma 90.00
loop_
_space_group_symop_operation_xyz
'x,y,z'
'-x,-y,-z'
'-x,y,-z'
'x,-y,z'
loop_
_atom_site_label
_atom_site_type_symbol
_atom_site_fract_x
_atom_site_fract_y
_atom_site_fract_z
Ce1 Ce 0.221 0.000 0.189
Ce2 Ce 0.267 0.500 0.804
Os1 Os 0.000 0.500 0.000
S1 S 0.500 0.000 0.000
I1 I 0.000 0.000 0.500
I2 I 0.500 0.500 0.500
```

| no. | raw total energy (eV/atom) | Fermi-level density of states (states/eV/cell) |
| --- | --- | --- |
| 1 | -6.6340 | 98.14 |
| 2 | -6.5432 | 1.29 |
| 3 | -6.7772 | 28.75 |
| 4 | -5.2870 | 52.27 |
| 5 | -6.3400 | 21.65 |
| 6 | -6.4830 | 66.99 |
| 7 | -6.5602 | 130.15 |
| 8 | -6.4891 | 67.11 |
| 9 | -6.5959 | 126.58 |
| 10 | -6.6687 | 116.34 |
| 11 | -6.4871 | 60.55 |
| 12 | -6.2828 | 21.37 |